Run P
The following is a DFT calculation (GGA-PBE) of a relaxed structure of TiMo2W2.

## Properties
The symmetry is C2/m, No. 12. The calculation puts the density of states at the Fermi level at 2.22 states/eV/f.u.

```
TiMo2W2
1.0
3.859 -2.232 0.000
3.859 2.232 0.000
-2.576 0.000 4.620
Ti Mo W
1 2 2
direct
0.000 0.000 0.000
0.401 0.401 0.205
0.599 0.599 0.795
0.204 0.204 0.612
0.796 0.796 0.388
```

***

Run Q
The following is a DFT calculation (GGA-PBE) of a relaxed structure of TiMo2W2.

## Properties
The symmetry is Immm, No. 71. The calculation puts the density of states at the Fermi level at 3.73 states/eV/f.u.

```
TiMo2W2
1.0
-2.294 2.832 3.307
2.294 -2.832 3.307
2.294 2.832 -3.307
Ti Mo W
1 2 2
direct
0.000 0.000 0.000
0.268 0.500 0.768
0.732 0.500 0.232
0.304 0.804 0.500
0.696 0.196 0.500
```

***

Quick one: least stable of them? run Q

***

Run P
The following is a DFT calculation (GGA-PBE) of a relaxed structure of Ti2Mo4W.

## Properties
The symmetry is Cmmm, No. 65. The calculation puts the density of states at the Fermi level at 7.22 states/eV/f.u.

```
Ti2Mo4W
1.0
1.309 -16.825 0.000
1.309 16.825 0.000
0.000 0.000 2.657
Ti Mo W
2 4 1
direct
0.211 0.789 0.000
0.789 0.211 0.000
0.356 0.644 0.500
0.431 0.569 0.000
0.569 0.431 0.000
0.644 0.356 0.500
0.000 0.000 0.500
```

***

Run Q
The following is a DFT calculation (GGA-PBE) of a relaxed structure of Ti2Mo4W.

## Properties
The symmetry is P-1, No. 2. The calculation puts the density of states at the Fermi level at 8.13 states/eV/f.u.

```
Ti2Mo4W
1.0
2.699 0.000 0.000
-1.010 6.917 0.000
-0.729 -3.429 6.071
Ti Mo W
2 4 1
direct
0.249 0.143 0.215
0.751 0.857 0.785
0.100 0.566 0.355
0.456 0.713 0.070
0.544 0.287 0.930
0.900 0.434 0.645
0.500 0.000 0.500
```

***

Quick one: least stable of them? run P

***

Run P
The following is a DFT calculation (GGA-PBE) of a relaxed structure of TiMo2W4.

## Properties
The symmetry is Pmmm, No. 47. The calculation puts the density of states at the Fermi level at 5.94 states/eV/f.u.

```
TiMo2W4
1.0
3.128 0.000 0.000
0.000 4.433 0.000
0.000 0.000 8.804
Ti Mo W
1 2 4
direct
0.000 0.000 0.000
0.000 0.000 0.500
0.500 0.500 0.500
0.000 0.500 0.239
0.000 0.500 0.761
0.500 0.000 0.250
0.500 0.000 0.750
```

***

Run Q
The following is a DFT calculation (GGA-PBE) of a relaxed structure of TiMo2W4.

## Properties
The symmetry is I4/mmm, No. 139. The calculation puts the density of states at the Fermi level at 4.14 states/eV/f.u.

```
TiMo2W4
1.0
-3.446 3.446 2.543
3.446 -3.446 2.543
3.446 3.446 -2.543
Ti Mo W
1 2 4
direct
0.000 0.000 0.000
0.250 0.750 0.500
0.750 0.250 0.500
0.313 0.313 0.625
0.313 0.687 0.000
0.687 0.313 0.000
0.687 0.687 0.375
```

***

Quick one: least stable of them? run Q

***

Run P
The following is a DFT calculation (GGA-PBE) of a relaxed structure of TiMo4W.

## Properties
The symmetry is C2/m, No. 12. The calculation puts the density of states at the Fermi level at 2.82 states/eV/f.u.

```
TiMo4W
1.0
4.749 -2.232 0.000
4.749 2.232 0.000
-3.174 0.000 4.482
Ti Mo W
1 4 1
direct
0.000 0.000 0.000
0.331 0.331 0.661
0.335 0.335 0.164
0.665 0.665 0.836
0.669 0.669 0.339
0.000 0.000 0.500
```

***

Run Q
The following is a DFT calculation (GGA-PBE) of a relaxed structure of TiMo4W.

## Properties
The symmetry is C2/m, No. 12. The calculation puts the density of states at the Fermi level at 2.74 states/eV/f.u.

```
TiMo4W
1.0
5.011 -1.580 0.000
5.011 1.580 0.000
-2.001 0.000 6.005
Ti Mo W
1 4 1
direct
0.000 0.000 0.000
0.331 0.331 0.166
0.331 0.331 0.664
0.669 0.669 0.336
0.669 0.669 0.834
0.000 0.000 0.500
```

***

Quick one: least stable of them? run P